Entry from Alexandria: crystalline NdPuNiO6 at its relaxed geometry (GGA+U).

Geometry as extended XYZ:
```
18
Lattice="5.3166 0.0000 0.0000 -2.6583 4.6043 0.0000 0.0000 0.0000 10.3913" Properties=species:S:1:pos:R:3 pbc="T T T"
O 0.9049 1.6651 8.9248
Pu 0.0000 3.0695 7.7935
O 0.9896 1.6163 3.7292
O -0.7638 4.5554 6.6622
Ni 2.6583 1.5348 7.7935
O 3.4220 0.0489 3.7292
O 0.7638 4.5554 8.9248
O 1.8945 0.0489 1.4665
Ni 0.0000 3.0695 2.5978
O 3.5632 2.9391 3.7292
O -0.9049 1.6651 6.6622
O 1.6687 2.9880 6.6622
O 1.7533 2.9391 1.4665
O -1.6687 2.9880 8.9248
Nd 0.0000 0.0000 0.0000
Pu 2.6583 1.5348 2.5978
Nd 0.0000 0.0000 5.1957
O 4.3270 1.6163 1.4665
```

Calculated values
- Size of the total moment: 0.333 μB/atom
- Uncorrected energy: -8.071 eV/atom